1.
Below is crystalline LiSc2W at its relaxed geometry, with properties calculated at the GGA-PBEsol level.

Computed properties:
polymorph energy (0 for the lowest one)	0.000	eV/f.u.

Structure (POSCAR):
```
LiSc2W
1.0
2.9480 0.0000 0.0000
0.0000 5.0342 0.0027
0.0000 -0.6929 4.9863
Li Sc W
1 2 1
Direct
0.5000 0.5000 0.5000 Li
0.0000 0.5000 0.0000 Sc
0.0000 0.0000 0.5000 Sc
0.5000 0.0000 0.0000 W
```



2.
Below is crystalline LiScW2 at its relaxed geometry, with properties calculated at the GGA-PBEsol level.

Computed properties:
polymorph energy (0 for the lowest one)	2.136	eV/f.u.

Structure (POSCAR):
```
LiScW2
1.0
4.4562 0.0000 0.0000
2.2281 3.8592 0.0000
2.2281 1.2864 3.6385
W Li Sc
2 1 1
Direct
0.2500 0.2500 0.2500 W
0.7500 0.7500 0.7500 W
0.0000 0.0000 0.0000 Li
0.5000 0.5000 0.5000 Sc
```



3.
Below is crystalline LiScW at its relaxed geometry, with properties calculated at the GGA-PBEsol level.

Computed properties:
polymorph energy (0 for the lowest one)	0.000	eV/f.u.

Structure (POSCAR):
```
LiScW
1.0
4.2043 0.0000 0.0000
2.1021 3.6410 0.0000
2.1021 1.2137 3.4328
Sc Li W
1 1 1
Direct
0.0000 0.0000 0.0000 Sc
0.2500 0.2500 0.2500 Li
0.5000 0.5000 0.5000 W
```



4.
Below is crystalline LiScW2 at its relaxed geometry, with properties calculated at the GGA-PBEsol level.

Computed properties:
polymorph energy (0 for the lowest one)	0.000	eV/f.u.

Structure (POSCAR):
```
LiScW2
1.0
-0.5678 -1.9973 -1.6980
0.8798 -1.7818 1.8016
-8.7172 -0.6199 3.6439
W Sc Li
2 1 1
Direct
0.0000 0.0000 0.0064 W
0.5000 0.5000 0.2469 W
0.5000 0.5000 0.7641 Sc
0.0000 0.0000 0.4826 Li
```



5.
Below is crystalline LiSc2W at its relaxed geometry, with properties calculated at the GGA-PBEsol level.

Computed properties:
polymorph energy (0 for the lowest one)	0.263	eV/f.u.

Structure (POSCAR):
```
LiSc2W
1.0
2.8227 -0.0287 0.0000
-0.7945 2.7087 0.0000
0.0000 0.0000 9.9229
Sc Li W
2 1 1
Direct
0.5000 0.5000 0.7229 Sc
0.0000 0.0000 0.0049 Sc
0.5000 0.5000 0.2718 Li
0.0000 0.0000 0.5003 W
```



6.
Below is crystalline LiYSc2 at its relaxed geometry, with properties calculated at the GGA-PBEsol level.

Computed properties:
polymorph energy (0 for the lowest one)	0.259	eV/f.u.

Structure (POSCAR):
```
LiYSc2
1.0
-3.4687 -0.1996 0.8523
-0.3948 -4.4352 -2.6456
1.2123 -2.6772 4.3071
Sc Y Li
2 1 1
Direct
0.5000 0.5000 0.0000 Sc
0.0000 0.0000 0.0000 Sc
0.5000 0.0000 0.5000 Y
0.0000 0.5000 0.5000 Li
```



7.
Below is crystalline LiYSc2 at its relaxed geometry, with properties calculated at the GGA-PBEsol level.

Computed properties:
polymorph energy (0 for the lowest one)	0.029	eV/f.u.

Structure (POSCAR):
```
LiYSc2
1.0
-2.3568 -1.6150 -1.8435
2.3839 -2.1044 -1.2040
-1.3918 -5.2022 6.3369
Sc Y Li
2 1 1
Direct
0.5000 0.5000 0.2345 Sc
0.0000 0.0000 0.9859 Sc
0.0000 0.0000 0.5119 Y
0.5000 0.5000 0.7676 Li
```



8.
Below is crystalline Li2YSc2 at its relaxed geometry, with properties calculated at the GGA-PBEsol level.

Structure (POSCAR):
```
Li2YSc2
1.0
-1.1776 -3.7449 -0.1687
2.3815 -0.6108 -3.0650
5.2712 0.1068 6.5931
Sc Y Li
2 1 2
Direct
0.6002 0.6002 0.2005 Sc
0.3998 0.3998 0.7995 Sc
0.0000 0.0000 0.0000 Y
0.2500 0.7500 0.5000 Li
0.7500 0.2500 0.5000 Li
```



9.
Below is crystalline LiYSc2 at its relaxed geometry, with properties calculated at the GGA-PBEsol level.

Computed properties:
polymorph energy (0 for the lowest one)	0.505	eV/f.u.

Structure (POSCAR):
```
LiYSc2
1.0
3.2380 0.0000 0.0000
1.6190 2.8042 0.0000
1.6190 0.9347 11.4597
Sc Y Li
2 1 1
Direct
0.0878 0.0878 0.7366 Sc
0.9122 0.9122 0.2634 Sc
0.5000 0.5000 0.5000 Y
0.0000 0.0000 0.0000 Li
```



10.
Below is crystalline LiYSc2 at its relaxed geometry, with properties calculated at the GGA-PBEsol level.

Computed properties:
polymorph energy (0 for the lowest one)	0.000	eV/f.u.

Structure (POSCAR):
```
LiYSc2
1.0
-1.9552 2.6310 1.1767
-3.9652 -3.2110 0.5908
4.5464 -0.7543 4.0868
Li Sc Y
1 2 1
Direct
0.5000 0.0000 0.0000 Li
0.7747 0.7747 0.5493 Sc
0.2253 0.2253 0.4507 Sc
0.0000 0.5000 0.0000 Y
```



11.
Below is crystalline LiScZn2 at its relaxed geometry, with properties calculated at the GGA-PBEsol level.

Structure (POSCAR):
```
LiScZn2
1.0
3.2898 0.0000 0.0000
0.0000 4.6246 0.0000
-1.6449 -2.3123 4.4095
Zn Sc Li
2 1 1
Direct
0.0227 0.0227 0.0455 Zn
0.7367 0.2367 0.4733 Zn
0.2628 0.7628 0.5255 Sc
0.4778 0.4778 0.9556 Li
```



12.
Below is crystalline LiScZn2 at its relaxed geometry, with properties calculated at the GGA-PBEsol level.

Structure (POSCAR):
```
LiScZn2
1.0
3.0701 0.0000 0.0000
0.0000 4.5952 0.0000
0.0000 0.0000 4.7505
Zn Li Sc
2 1 1
Direct
0.0000 0.0000 0.0609 Zn
0.0000 0.5000 0.6816 Zn
0.5000 0.0000 0.5907 Li
0.5000 0.5000 0.1668 Sc
```



no.,formation energy from the elements (eV/atom)
1,0.3180
2,0.9959
3,1.2953
4,0.4620
5,0.3837
6,0.1669
7,0.1093
8,0.3060
9,0.2283
10,0.1020
11,-0.1546
12,-0.2144